First-principles (PBE) data for Pr3HPt after structural relaxation, as listed in Alexandria.

Cell and atoms, written as CIF:
```
data_Pr3HPt
_chemical_formula_sum 'Pr6 H2 Pt2'
_cell_length_a 7.2704
_cell_length_b 3.9345
_cell_length_c 8.8596
_cell_angle_alpha 90.00
_cell_angle_beta 101.42
_cell_angle_gamma 90.00
_symmetry_space_group_name_H-M 'P 1 21/m 1'
_symmetry_Int_Tables_number 11
loop_
_symmetry_equiv_pos_as_xyz
'x,y,z'
'-x,-y,-z'
'-x,y+1/2,-z'
'x,-y+1/2,z'
loop_
_atom_site_label
_atom_site_type_symbol
_atom_site_fract_x
_atom_site_fract_y
_atom_site_fract_z
Pr1 Pr 0.0853 0.2500 0.3505
Pr2 Pr 0.2451 0.2500 0.9529
Pr3 Pr 0.4038 0.7500 0.6400
H1 H 0.1612 0.2500 0.6506
Pt1 Pt 0.3092 0.7500 0.2019
```


First-principles (PBE) data for Pr2H2Pt3 after structural relaxation, as listed in Alexandria.

Cell and atoms, written as CIF:
```
data_Pr2H2Pt3
_chemical_formula_sum 'Pr2 H2 Pt3'
_cell_length_a 4.5834
_cell_length_b 3.8159
_cell_length_c 7.1623
_cell_angle_alpha 90.00
_cell_angle_beta 96.22
_cell_angle_gamma 90.00
_symmetry_space_group_name_H-M 'P 1 2/m 1'
_symmetry_Int_Tables_number 10
loop_
_symmetry_equiv_pos_as_xyz
'x,y,z'
'-x,-y,-z'
'-x,y,-z'
'x,-y,z'
loop_
_atom_site_label
_atom_site_type_symbol
_atom_site_fract_x
_atom_site_fract_y
_atom_site_fract_z
Pr1 Pr 0.2110 0.0000 0.2680
H1 H 0.1632 0.5000 0.8527
Pt1 Pt 0.2738 0.5000 0.6180
Pt2 Pt 0.5000 0.5000 0.0000
```


First-principles (PBE) data for PrH4Pt after structural relaxation, as listed in Alexandria.

Cell and atoms, written as CIF:
```
data_PrH4Pt
_chemical_formula_sum 'Pr2 H8 Pt2'
_cell_length_a 4.2642
_cell_length_b 4.6448
_cell_length_c 6.6742
_cell_angle_alpha 90.00
_cell_angle_beta 90.00
_cell_angle_gamma 90.00
_symmetry_space_group_name_H-M 'I m m m'
_symmetry_Int_Tables_number 71
_symmetry_space_group_name_Hall '-I 2 2'
loop_
_atom_site_label
_atom_site_type_symbol
_atom_site_fract_x
_atom_site_fract_y
_atom_site_fract_z
Pr1 Pr 0.0000 0.0000 0.0000
H1 H 0.0000 0.2646 0.3291
Pt1 Pt 0.0000 0.0000 0.5000
```


First-principles (PBE) data for PrH3Pt after structural relaxation, as listed in Alexandria.

Cell and atoms, written as CIF:
```
data_PrH3Pt
_chemical_formula_sum 'Pr2 H6 Pt2'
_cell_length_a 4.4597
_cell_length_b 4.9470
_cell_length_c 5.9749
_cell_angle_alpha 90.00
_cell_angle_beta 98.80
_cell_angle_gamma 90.00
_symmetry_space_group_name_H-M 'P 1 21/m 1'
_symmetry_Int_Tables_number 11
loop_
_symmetry_equiv_pos_as_xyz
'x,y,z'
'-x,-y,-z'
'-x,y+1/2,-z'
'x,-y+1/2,z'
loop_
_atom_site_label
_atom_site_type_symbol
_atom_site_fract_x
_atom_site_fract_y
_atom_site_fract_z
Pr1 Pr 0.2334 0.2500 0.2669
H1 H 0.2728 0.5800 0.8039
H2 H 0.3778 0.7500 0.3651
Pt1 Pt 0.2903 0.2500 0.7654
```


First-principles (PBE) data for PrH12Pt4 after structural relaxation, as listed in Alexandria.

Cell and atoms, written as CIF:
```
data_PrH12Pt4
_chemical_formula_sum 'Pr2 H24 Pt8'
_cell_length_a 7.1021
_cell_length_b 7.1021
_cell_length_c 7.1021
_cell_angle_alpha 90.00
_cell_angle_beta 90.00
_cell_angle_gamma 90.00
_symmetry_space_group_name_H-M 'I m -3'
_symmetry_Int_Tables_number 204
_symmetry_space_group_name_Hall '-I 2 2 3'
loop_
_atom_site_label
_atom_site_type_symbol
_atom_site_fract_x
_atom_site_fract_y
_atom_site_fract_z
Pr1 Pr 0.0000 0.0000 0.0000
H1 H 0.0000 0.2562 0.2592
Pt1 Pt 0.2500 0.2500 0.2500
```


First-principles (PBE) data for Pr6HPt2 after structural relaxation, as listed in Alexandria.

Cell and atoms, written as CIF:
```
data_Pr6HPt2
_chemical_formula_sum 'Pr12 H2 Pt4'
_cell_length_a 6.7175
_cell_length_b 7.2857
_cell_length_c 12.1572
_cell_angle_alpha 90.00
_cell_angle_beta 122.88
_cell_angle_gamma 90.00
_symmetry_space_group_name_H-M 'P 1 21/c 1'
_symmetry_Int_Tables_number 14
loop_
_symmetry_equiv_pos_as_xyz
'x,y,z'
'-x,-y,-z'
'-x,y+1/2,-z+1/2'
'x,-y+1/2,z+1/2'
loop_
_atom_site_label
_atom_site_type_symbol
_atom_site_fract_x
_atom_site_fract_y
_atom_site_fract_z
Pr1 Pr 0.1068 0.0283 0.2524
Pr2 Pr 0.2308 0.6757 0.0620
Pr3 Pr 0.3898 0.1786 0.0625
H1 H 0.5000 0.0000 0.5000
Pt1 Pt 0.3236 0.1180 0.7540
```


First-principles (PBE) data for PrH6Pt after structural relaxation, as listed in Alexandria.

Cell and atoms, written as CIF:
```
data_PrH6Pt
_chemical_formula_sum 'Pr3 H18 Pt3'
_cell_length_a 4.5766
_cell_length_b 4.5766
_cell_length_c 12.2098
_cell_angle_alpha 90.00
_cell_angle_beta 90.00
_cell_angle_gamma 120.00
_symmetry_space_group_name_H-M 'R -3 m'
_symmetry_Int_Tables_number 166
_symmetry_space_group_name_Hall '-R 3 2"'
loop_
_atom_site_label
_atom_site_type_symbol
_atom_site_fract_x
_atom_site_fract_y
_atom_site_fract_z
Pr1 Pr 0.0000 0.0000 0.0000
H1 H 0.0210 0.5105 0.9099
Pt1 Pt 0.0000 0.0000 0.5000
```


First-principles (PBE) data for PrH4Pt2 after structural relaxation, as listed in Alexandria.

Cell and atoms, written as CIF:
```
data_PrH4Pt2
_chemical_formula_sum 'Pr2 H8 Pt4'
_cell_length_a 5.1586
_cell_length_b 5.3951
_cell_length_c 6.4285
_cell_angle_alpha 104.01
_cell_angle_beta 90.80
_cell_angle_gamma 113.76
_symmetry_space_group_name_H-M 'P 1'
_symmetry_Int_Tables_number 1
loop_
_symmetry_equiv_pos_as_xyz
'x,y,z'
loop_
_atom_site_label
_atom_site_type_symbol
_atom_site_fract_x
_atom_site_fract_y
_atom_site_fract_z
Pr1 Pr 0.0000 0.0000 0.0000
Pr2 Pr 0.2791 0.5631 0.5903
H1 H 0.0052 0.4690 0.9070
H2 H 0.0966 0.7272 0.2818
H3 H 0.2408 0.0371 0.6594
H4 H 0.3277 0.2489 0.3049
H5 H 0.5293 0.5219 0.9115
H6 H 0.5937 0.7070 0.2999
H7 H 0.6064 0.1838 0.0336
H8 H 0.9233 0.1620 0.3633
Pt1 Pt 0.3265 0.6633 0.0917
Pt2 Pt 0.6353 0.2372 0.7692
Pt3 Pt 0.6425 0.2361 0.3269
Pt4 Pt 0.8953 0.8509 0.4979
```


First-principles (PBE) data for PrH6Pt4 after structural relaxation, as listed in Alexandria.

Cell and atoms, written as CIF:
```
data_PrH6Pt4
_chemical_formula_sum 'Pr1 H6 Pt4'
_cell_length_a 5.1812
_cell_length_b 5.3895
_cell_length_c 5.9827
_cell_angle_alpha 79.22
_cell_angle_beta 64.94
_cell_angle_gamma 63.88
_symmetry_space_group_name_H-M 'P 1'
_symmetry_Int_Tables_number 1
loop_
_symmetry_equiv_pos_as_xyz
'x,y,z'
loop_
_atom_site_label
_atom_site_type_symbol
_atom_site_fract_x
_atom_site_fract_y
_atom_site_fract_z
Pr1 Pr 0.0000 0.0000 0.0000
H1 H 0.1320 0.3681 0.3360
H2 H 0.4499 0.3632 0.6898
H3 H 0.5112 0.6426 0.3404
H4 H 0.5209 0.1596 0.4179
H5 H 0.8464 0.6302 0.6860
H6 H 0.9195 0.1629 0.5808
Pt1 Pt 0.2878 0.3990 0.0082
Pt2 Pt 0.2968 0.0070 0.3813
Pt3 Pt 0.6741 0.9965 0.6319
Pt4 Pt 0.6822 0.6236 0.0110
```


First-principles (PBE) data for PrH2Pt after structural relaxation, as listed in Alexandria.

Cell and atoms, written as CIF:
```
data_PrH2Pt
_chemical_formula_sum 'Pr3 H6 Pt3'
_cell_length_a 4.3142
_cell_length_b 4.3142
_cell_length_c 11.2493
_cell_angle_alpha 90.00
_cell_angle_beta 90.00
_cell_angle_gamma 120.00
_symmetry_space_group_name_H-M 'R -3 m'
_symmetry_Int_Tables_number 166
_symmetry_space_group_name_Hall '-R 3 2"'
loop_
_atom_site_label
_atom_site_type_symbol
_atom_site_fract_x
_atom_site_fract_y
_atom_site_fract_z
Pr1 Pr 0.0000 0.0000 0.0000
H1 H 0.0000 0.0000 0.3510
Pt1 Pt 0.0000 0.0000 0.5000
```


First-principles (PBE) data for PrH3Pt after structural relaxation, as listed in Alexandria.

Cell and atoms, written as CIF:
```
data_PrH3Pt
_chemical_formula_sum 'Pr1 H3 Pt1'
_cell_length_a 3.8129
_cell_length_b 3.8129
_cell_length_c 3.8129
_cell_angle_alpha 90.00
_cell_angle_beta 90.00
_cell_angle_gamma 90.00
_symmetry_space_group_name_H-M 'P m -3 m'
_symmetry_Int_Tables_number 221
_symmetry_space_group_name_Hall '-P 4 2 3'
loop_
_atom_site_label
_atom_site_type_symbol
_atom_site_fract_x
_atom_site_fract_y
_atom_site_fract_z
Pr1 Pr 0.0000 0.0000 0.0000
H1 H 0.0000 0.5000 0.5000
Pt1 Pt 0.5000 0.5000 0.5000
```


First-principles (PBE) data for PrH2Pt after structural relaxation, as listed in Alexandria.

Cell and atoms, written as CIF:
```
data_PrH2Pt
_chemical_formula_sum 'Pr4 H8 Pt4'
_cell_length_a 3.8371
_cell_length_b 12.6331
_cell_length_c 4.4632
_cell_angle_alpha 90.00
_cell_angle_beta 90.00
_cell_angle_gamma 90.00
_symmetry_space_group_name_H-M 'C m c m'
_symmetry_Int_Tables_number 63
_symmetry_space_group_name_Hall '-C 2c 2'
loop_
_atom_site_label
_atom_site_type_symbol
_atom_site_fract_x
_atom_site_fract_y
_atom_site_fract_z
Pr1 Pr 0.0000 0.1461 0.2500
H1 H 0.0000 0.0604 0.7500
H2 H 0.0000 0.2449 0.7500
Pt1 Pt 0.0000 0.4342 0.2500
```


First-principles (PBE) data for PrHPt3 after structural relaxation, as listed in Alexandria.

Cell and atoms, written as CIF:
```
data_PrHPt3
_chemical_formula_sum 'Pr1 H1 Pt3'
_cell_length_a 4.2672
_cell_length_b 4.2672
_cell_length_c 4.2672
_cell_angle_alpha 90.00
_cell_angle_beta 90.00
_cell_angle_gamma 90.00
_symmetry_space_group_name_H-M 'P m -3 m'
_symmetry_Int_Tables_number 221
_symmetry_space_group_name_Hall '-P 4 2 3'
loop_
_atom_site_label
_atom_site_type_symbol
_atom_site_fract_x
_atom_site_fract_y
_atom_site_fract_z
Pr1 Pr 0.0000 0.0000 0.0000
H1 H 0.5000 0.5000 0.5000
Pt1 Pt 0.0000 0.5000 0.5000
```


First-principles (PBE) data for RbPrH6Pt2 after structural relaxation, as listed in Alexandria.

Cell and atoms, written as CIF:
```
data_RbPrH6Pt2
_chemical_formula_sum 'Rb4 Pr4 H24 Pt8'
_cell_length_a 9.2718
_cell_length_b 8.9818
_cell_length_c 7.8210
_cell_angle_alpha 90.00
_cell_angle_beta 112.13
_cell_angle_gamma 90.00
_symmetry_space_group_name_H-M 'C 1 2/c 1'
_symmetry_Int_Tables_number 15
loop_
_symmetry_equiv_pos_as_xyz
'x,y,z'
'-x,-y,-z'
'-x,y,-z+1/2'
'x,-y,z+1/2'
'x+1/2,y+1/2,z'
'-x+1/2,-y+1/2,-z'
'-x+1/2,y+1/2,-z+1/2'
'x+1/2,-y+1/2,z+1/2'
loop_
_atom_site_label
_atom_site_type_symbol
_atom_site_fract_x
_atom_site_fract_y
_atom_site_fract_z
Rb1 Rb 0.0000 0.0967 0.2500
Pr1 Pr 0.0000 0.4348 0.7500
H1 H 0.0220 0.3465 0.0478
H2 H 0.0935 0.1851 0.7715
H3 H 0.2365 0.4147 0.3335
Pt1 Pt 0.2195 0.3298 0.1365
```


First-principles (PBE) data for PrH8PtRh2 after structural relaxation, as listed in Alexandria.

Cell and atoms, written as CIF:
```
data_PrH8PtRh2
_chemical_formula_sum 'Pr3 H24 Pt3 Rh6'
_cell_length_a 4.8155
_cell_length_b 4.8155
_cell_length_c 16.5561
_cell_angle_alpha 90.00
_cell_angle_beta 90.00
_cell_angle_gamma 120.00
_symmetry_space_group_name_H-M 'R -3'
_symmetry_Int_Tables_number 148
_symmetry_space_group_name_Hall '-R 3'
loop_
_atom_site_label
_atom_site_type_symbol
_atom_site_fract_x
_atom_site_fract_y
_atom_site_fract_z
Pr1 Pr 0.0000 0.0000 0.0000
H1 H 0.0000 0.0000 0.3133
H2 H 0.0096 0.3615 0.7818
Pt1 Pt 0.0000 0.0000 0.5000
Rh1 Rh 0.0000 0.0000 0.2136
```


First-principles (PBE) data for Pr2H12PtRh3 after structural relaxation, as listed in Alexandria.

Cell and atoms, written as CIF:
```
data_Pr2H12PtRh3
_chemical_formula_sum 'Pr6 H36 Pt3 Rh9'
_cell_length_a 6.1817
_cell_length_b 6.1817
_cell_length_c 15.1574
_cell_angle_alpha 90.00
_cell_angle_beta 90.00
_cell_angle_gamma 120.00
_symmetry_space_group_name_H-M 'R -3 m'
_symmetry_Int_Tables_number 166
_symmetry_space_group_name_Hall '-R 3 2"'
loop_
_atom_site_label
_atom_site_type_symbol
_atom_site_fract_x
_atom_site_fract_y
_atom_site_fract_z
Pr1 Pr 0.0000 0.0000 0.1239
H1 H 0.0413 0.5207 0.1133
H2 H 0.0483 0.5242 0.3673
Pt1 Pt 0.0000 0.0000 0.5000
Rh1 Rh 0.0000 0.5000 0.0000
```


First-principles (PBE) data for Pr2SbHPt6 after structural relaxation, as listed in Alexandria.

Cell and atoms, written as CIF:
```
data_Pr2SbHPt6
_chemical_formula_sum 'Pr6 Sb3 H3 Pt18'
_cell_length_a 5.8029
_cell_length_b 5.8029
_cell_length_c 19.0478
_cell_angle_alpha 90.00
_cell_angle_beta 90.00
_cell_angle_gamma 120.00
_symmetry_space_group_name_H-M 'R -3 m'
_symmetry_Int_Tables_number 166
_symmetry_space_group_name_Hall '-R 3 2"'
loop_
_atom_site_label
_atom_site_type_symbol
_atom_site_fract_x
_atom_site_fract_y
_atom_site_fract_z
Pr1 Pr 0.0000 0.0000 0.2210
Sb1 Sb 0.0000 0.0000 0.5000
H1 H 0.0000 0.0000 0.0000
Pt1 Pt 0.0006 0.5003 0.7266
```


First-principles (PBE) data for PrSbHPt after structural relaxation, as listed in Alexandria.

Cell and atoms, written as CIF:
```
data_PrSbHPt
_chemical_formula_sum 'Pr1 Sb1 H1 Pt1'
_cell_length_a 4.5905
_cell_length_b 4.5905
_cell_length_c 4.1855
_cell_angle_alpha 90.00
_cell_angle_beta 90.00
_cell_angle_gamma 120.00
_symmetry_space_group_name_H-M 'P 3 m 1'
_symmetry_Int_Tables_number 156
loop_
_symmetry_equiv_pos_as_xyz
'x,y,z'
'-y,x-y,z'
'-x+y,-x,z'
'-y,-x,z'
'-x+y,y,z'
'x,x-y,z'
loop_
_atom_site_label
_atom_site_type_symbol
_atom_site_fract_x
_atom_site_fract_y
_atom_site_fract_z
Pr1 Pr 0.0000 0.0000 0.0000
Sb1 Sb 0.3333 0.6667 0.4746
H1 H 0.6667 0.3333 0.9721
Pt1 Pt 0.6667 0.3333 0.5621
```


First-principles (PBE) data for PrSiHPt2 after structural relaxation, as listed in Alexandria.

Cell and atoms, written as CIF:
```
data_PrSiHPt2
_chemical_formula_sum 'Pr4 Si4 H4 Pt8'
_cell_length_a 3.9837
_cell_length_b 11.0529
_cell_length_c 7.1888
_cell_angle_alpha 90.00
_cell_angle_beta 90.00
_cell_angle_gamma 90.00
_symmetry_space_group_name_H-M 'C m c m'
_symmetry_Int_Tables_number 63
_symmetry_space_group_name_Hall '-C 2c 2'
loop_
_atom_site_label
_atom_site_type_symbol
_atom_site_fract_x
_atom_site_fract_y
_atom_site_fract_z
Pr1 Pr 0.0000 0.0545 0.2500
Si1 Si 0.0000 0.2266 0.7500
H1 H 0.0000 0.5000 0.0000
Pt1 Pt 0.0000 0.3367 0.0544
```


First-principles (PBE) data for SrPrH6Pt2 after structural relaxation, as listed in Alexandria.

Cell and atoms, written as CIF:
```
data_SrPrH6Pt2
_chemical_formula_sum 'Sr4 Pr4 H24 Pt8'
_cell_length_a 7.8433
_cell_length_b 10.0337
_cell_length_c 6.8946
_cell_angle_alpha 90.00
_cell_angle_beta 111.67
_cell_angle_gamma 90.00
_symmetry_space_group_name_H-M 'C 1 2/c 1'
_symmetry_Int_Tables_number 15
loop_
_symmetry_equiv_pos_as_xyz
'x,y,z'
'-x,-y,-z'
'-x,y,-z+1/2'
'x,-y,z+1/2'
'x+1/2,y+1/2,z'
'-x+1/2,-y+1/2,-z'
'-x+1/2,y+1/2,-z+1/2'
'x+1/2,-y+1/2,z+1/2'
loop_
_atom_site_label
_atom_site_type_symbol
_atom_site_fract_x
_atom_site_fract_y
_atom_site_fract_z
Sr1 Sr 0.0000 0.1537 0.2500
Pr1 Pr 0.0000 0.4141 0.7500
H1 H 0.0783 0.3800 0.1186
H2 H 0.1733 0.2510 0.6259
H3 H 0.1870 0.0285 0.9958
Pt1 Pt 0.1890 0.1385 0.8150
```


| no. | calculated total energy (eV per cell) |
| --- | --- |
| 1 | -53.3 |
| 2 | -39.9 |
| 3 | -54.6 |
| 4 | -46.7 |
| 5 | -145.8 |
| 6 | -99.2 |
| 7 | -101.6 |
| 8 | -66.4 |
| 9 | -51.1 |
| 10 | -60.6 |
| 11 | -23.4 |
| 12 | -80.4 |
| 13 | -29.2 |
| 14 | -167.8 |
| 15 | -164.7 |
| 16 | -248.1 |
| 17 | -181.0 |
| 18 | -21.9 |
| 19 | -121.1 |
| 20 | -177.3 |